Entry 1:
# AlInSi2

AlInSi2 after structural relaxation (PBE, the Alexandria database).

Cell lengths 4.720, 4.720, 4.720 Å; angles 60.00, 60.00, 60.00 degrees
Fractional coordinates of all 4 atoms:
Si (0.250, 0.250, 0.250)
Si (0.750, 0.750, 0.750)
Al (0.000, 0.000, 0.000)
In (0.500, 0.500, 0.500)

## Properties
formation energy (no corrections) = 0.46 eV/atom
space group = Fm-3m, No. 225
total magnetic moment = 0.000 μB/atom

=====

Entry 2:
# Al2InSi

Al2InSi after structural relaxation (PBE, the Alexandria database).

Cell lengths 3.021, 3.021, 8.268 Å; angles 90.00, 90.00, 89.98 degrees
Fractional coordinates of all 4 atoms:
Si (0.500, 0.500, 0.788)
Al (0.000, 0.000, 0.991)
Al (0.500, 0.500, 0.216)
In (0.000, 0.000, 0.505)

## Properties
formation energy (no corrections) = 0.23 eV/atom
space group = P4mm, No. 99
total magnetic moment = 0.000 μB/atom

=====

Entry 3:
# Al2InSi

Al2InSi after structural relaxation (PBE, the Alexandria database).

Cell lengths 2.963, 3.382, 7.511 Å; angles 90.00, 90.00, 90.00 degrees
Fractional coordinates of all 4 atoms:
Si (0.500, 0.500, 0.750)
Al (0.000, 0.000, 0.953)
Al (0.000, 0.000, 0.547)
In (0.500, 0.500, 0.250)

## Properties
formation energy (no corrections) = 0.19 eV/atom
space group = Pmmm, No. 47
total magnetic moment = 0.000 μB/atom

=====

Entry 4:
# AlInSi2

AlInSi2 after structural relaxation (PBE, the Alexandria database).

Cell lengths 3.648, 2.852, 7.311 Å; angles 89.97, 90.00, 90.00 degrees
Fractional coordinates of all 4 atoms:
Si (0.000, 0.751, 0.065)
Si (0.000, 0.749, 0.435)
Al (0.500, 0.250, 0.250)
In (0.500, 0.750, 0.750)

## Properties
formation energy (no corrections) = 0.28 eV/atom
space group = Pmmm, No. 47
total magnetic moment = 0.000 μB/atom

=====

Entry 5:
# Al2InSi

Al2InSi after structural relaxation (PBE, the Alexandria database).

Cell lengths 3.061, 3.736, 6.743 Å; angles 90.00, 90.00, 90.00 degrees
Fractional coordinates of all 4 atoms:
Si (0.500, 0.500, 0.813)
Al (0.000, 0.000, 0.979)
Al (0.500, 0.500, 0.209)
In (0.000, 0.000, 0.499)

## Properties
formation energy (no corrections) = 0.22 eV/atom
space group = Pmm2, No. 25
total magnetic moment = 0.000 μB/atom

=====

Entry 6:
# AlInSi2

AlInSi2 after structural relaxation (PBE, the Alexandria database).

Cell lengths 5.297, 5.297, 5.297 Å; angles 134.74, 134.74, 65.94 degrees
Fractional coordinates of all 4 atoms:
Si (0.000, 0.000, 0.000)
Si (0.250, 0.750, 0.500)
Al (0.500, 0.500, 0.000)
In (0.750, 0.250, 0.500)

## Properties
formation energy (no corrections) = 0.44 eV/atom
space group = I-4m2, No. 119
total magnetic moment = 0.000 μB/atom

=====

Entry 7:
# AlInSi3

AlInSi3 after structural relaxation (PBE, the Alexandria database).

Cell lengths 4.806, 4.806, 4.806 Å; angles 90.00, 90.00, 90.00 degrees
Fractional coordinates of all 5 atoms:
Si (0.000, 0.500, 0.000)
Si (0.000, 0.000, 0.500)
Si (0.500, 0.000, 0.000)
Al (0.000, 0.000, 0.000)
In (0.500, 0.500, 0.500)

## Properties
formation energy (no corrections) = 0.80 eV/atom
space group = Pm-3m, No. 221
total magnetic moment = 0.000 μB/atom

=====

Entry 8:
# AlInSi2

AlInSi2 after structural relaxation (PBE, the Alexandria database).

Cell lengths 4.153, 4.153, 6.275 Å; angles 75.34, 75.34, 51.10 degrees
Fractional coordinates of all 4 atoms:
Si (0.979, 0.979, 0.082)
Si (0.262, 0.262, 0.223)
Al (0.516, 0.516, 0.434)
In (0.742, 0.742, 0.761)

## Properties
formation energy (no corrections) = 0.29 eV/atom
space group = Cm, No. 8
total magnetic moment = 0.000 μB/atom

=====

Entry 9:
# AlInSi2

AlInSi2 after structural relaxation (PBE, the Alexandria database).

Cell lengths 4.582, 4.582, 3.626 Å; angles 90.00, 90.00, 104.06 degrees
Fractional coordinates of all 4 atoms:
Si (0.000, 0.000, 0.000)
Si (0.500, 0.500, 0.000)
Al (0.500, 0.000, 0.500)
In (0.000, 0.500, 0.500)

## Properties
formation energy (no corrections) = 0.43 eV/atom
space group = Cmmm, No. 65
total magnetic moment = 0.000 μB/atom

=====

Entry 10:
# AlIn3Si

AlIn3Si after structural relaxation (PBE, the Alexandria database).

Cell lengths 5.264, 5.264, 5.264 Å; angles 90.00, 90.00, 90.00 degrees
Fractional coordinates of all 5 atoms:
Si (0.500, 0.500, 0.500)
Al (0.000, 0.000, 0.000)
In (0.000, 0.500, 0.000)
In (0.000, 0.000, 0.500)
In (0.500, 0.000, 0.000)

## Properties
formation energy (no corrections) = 0.71 eV/atom
space group = Pm-3m, No. 221
total magnetic moment = 0.000 μB/atom

=====

Entry 11:
# AlInSi2

AlInSi2 after structural relaxation (PBE, the Alexandria database).

Cell lengths 4.059, 4.059, 6.902 Å; angles 83.54, 83.54, 42.80 degrees
Fractional coordinates of all 4 atoms:
Si (0.988, 0.988, 0.041)
Si (0.512, 0.512, 0.459)
Al (0.250, 0.250, 0.250)
In (0.750, 0.750, 0.750)

## Properties
formation energy (no corrections) = 0.30 eV/atom
space group = C2/m, No. 12
total magnetic moment = 0.000 μB/atom

=====

Entry 12:
# AlIn4Si

AlIn4Si after structural relaxation (PBE, the Alexandria database).

Cell lengths 6.044, 6.044, 6.044 Å; angles 60.00, 60.00, 60.00 degrees
Fractional coordinates of all 6 atoms:
Al (0.000, 0.000, 0.000)
In (0.375, 0.874, 0.375)
In (0.874, 0.375, 0.375)
In (0.375, 0.375, 0.874)
In (0.375, 0.375, 0.375)
Si (0.750, 0.750, 0.750)

## Properties
formation energy (no corrections) = 0.53 eV/atom
space group = F-43m, No. 216
total magnetic moment = 0.000 μB/atom

=====

Entry 13:
# AlIn3Si

AlIn3Si after structural relaxation (PBE, the Alexandria database).

Cell lengths 5.243, 5.243, 5.243 Å; angles 90.00, 90.00, 90.00 degrees
Fractional coordinates of all 5 atoms:
Si (0.000, 0.000, 0.000)
Al (0.500, 0.500, 0.500)
In (0.000, 0.500, 0.000)
In (0.000, 0.000, 0.500)
In (0.500, 0.000, 0.000)

## Properties
formation energy (no corrections) = 0.58 eV/atom
space group = Pm-3m, No. 221
total magnetic moment = 0.000 μB/atom

=====

Entry 14:
# Al2InSi

Al2InSi after structural relaxation (PBE, the Alexandria database).

Cell lengths 4.757, 4.757, 4.757 Å; angles 60.00, 60.00, 60.00 degrees
Fractional coordinates of all 4 atoms:
Si (0.000, 0.000, 0.000)
Al (0.250, 0.250, 0.250)
Al (0.750, 0.750, 0.750)
In (0.500, 0.500, 0.500)

## Properties
formation energy (no corrections) = 0.33 eV/atom
space group = Fm-3m, No. 225
total magnetic moment = 0.000 μB/atom

=====

Entry 15:
# Al2InSi

Al2InSi after structural relaxation (PBE, the Alexandria database).

Cell lengths 6.591, 6.591, 6.701 Å; angles 60.54, 60.54, 90.00 degrees
Fractional coordinates of all 8 atoms:
Si (0.500, 0.500, 0.000)
Si (0.250, 0.750, 0.500)
Al (0.578, 0.125, 0.250)
Al (0.172, 0.625, 0.250)
Al (0.375, 0.422, 0.750)
Al (0.875, 0.828, 0.750)
In (0.000, 0.000, 0.000)
In (0.750, 0.250, 0.500)

## Properties
formation energy (no corrections) = 0.41 eV/atom
space group = I-42d, No. 122
total magnetic moment = 0.000 μB/atom

=====

Entry 16:
# Al2InSi

Al2InSi after structural relaxation (PBE, the Alexandria database).

Cell lengths 5.377, 5.377, 5.241 Å; angles 69.93, 69.93, 32.33 degrees
Fractional coordinates of all 4 atoms:
Si (0.250, 0.250, 0.250)
Al (0.977, 0.977, 0.022)
Al (0.523, 0.523, 0.478)
In (0.750, 0.750, 0.750)

## Properties
formation energy (no corrections) = 0.24 eV/atom
space group = C2/m, No. 12
total magnetic moment = 0.000 μB/atom

=====

Entry 17:
# AlInSi2

AlInSi2 after structural relaxation (PBE, the Alexandria database).

Cell lengths 5.737, 5.737, 5.737 Å; angles 148.97, 129.76, 60.23 degrees
Fractional coordinates of all 4 atoms:
Si (0.967, 0.967, 0.000)
Si (0.765, 0.265, 0.500)
Al (0.530, 0.530, 0.000)
In (0.238, 0.738, 0.500)

## Properties
formation energy (no corrections) = 0.36 eV/atom
space group = Imm2, No. 44
total magnetic moment = 0.000 μB/atom

=====

Entry 18:
# AlInSi2

AlInSi2 after structural relaxation (PBE, the Alexandria database).

Cell lengths 9.987, 9.987, 9.987 Å; angles 17.19, 17.19, 17.19 degrees
Fractional coordinates of all 4 atoms:
Si (0.988, 0.988, 0.988)
Si (0.512, 0.512, 0.512)
Al (0.250, 0.250, 0.250)
In (0.750, 0.750, 0.750)

## Properties
formation energy (no corrections) = 0.44 eV/atom
space group = R-3m, No. 166
total magnetic moment = 0.000 μB/atom

=====

Entry 19:
# AlInSi2

AlInSi2 after structural relaxation (PBE, the Alexandria database).

Cell lengths 3.344, 3.344, 6.899 Å; angles 90.00, 90.00, 90.00 degrees
Fractional coordinates of all 4 atoms:
Si (0.000, 0.000, 0.064)
Si (0.000, 0.000, 0.436)
Al (0.500, 0.500, 0.250)
In (0.500, 0.500, 0.750)

## Properties
formation energy (no corrections) = 0.33 eV/atom
space group = P4/mmm, No. 123
total magnetic moment = 0.000 μB/atom

=====

Entry 20:
# AlInSi2

AlInSi2 after structural relaxation (PBE, the Alexandria database).

Cell lengths 3.705, 2.729, 8.047 Å; angles 70.24, 90.00, 90.00 degrees
Fractional coordinates of all 4 atoms:
Si (0.000, 0.335, 0.043)
Si (0.500, 0.115, 0.258)
Al (0.000, 0.417, 0.455)
In (0.500, 0.634, 0.745)

## Properties
formation energy (no corrections) = 0.29 eV/atom
space group = Pm, No. 6
total magnetic moment = 0.000 μB/atom

=====

Entry 21:
# AlInSi2

AlInSi2 after structural relaxation (PBE, the Alexandria database).

Cell lengths 5.060, 5.060, 3.025 Å; angles 84.56, 84.56, 103.39 degrees
Fractional coordinates of all 4 atoms:
Si (0.000, 0.000, 0.000)
Si (0.500, 0.500, 0.000)
Al (0.500, 0.000, 0.500)
In (0.000, 0.500, 0.500)

## Properties
formation energy (no corrections) = 0.44 eV/atom
space group = C2/m, No. 12
total magnetic moment = 0.000 μB/atom

=====

Entry 22:
# AlInSi2

AlInSi2 after structural relaxation (PBE, the Alexandria database).

Cell lengths 5.310, 5.310, 7.911 Å; angles 70.39, 70.39, 90.00 degrees
Fractional coordinates of all 8 atoms:
Si (0.590, 0.125, 0.250)
Si (0.160, 0.625, 0.250)
Si (0.375, 0.410, 0.750)
Si (0.875, 0.840, 0.750)
Al (0.500, 0.500, 0.000)
Al (0.250, 0.750, 0.500)
In (0.000, 0.000, 0.000)
In (0.750, 0.250, 0.500)

## Properties
formation energy (no corrections) = 0.41 eV/atom
space group = I-42d, No. 122
total magnetic moment = 0.000 μB/atom

=====

Entry 23:
# Al2InSi

Al2InSi after structural relaxation (PBE, the Alexandria database).

Cell lengths 4.159, 4.370, 4.138 Å; angles 90.00, 90.00, 90.00 degrees
Fractional coordinates of all 4 atoms:
Si (0.000, 0.500, 0.500)
Al (0.000, 0.000, 0.000)
Al (0.500, 0.500, 0.000)
In (0.500, 0.000, 0.500)

## Properties
formation energy (no corrections) = 0.29 eV/atom
space group = Pmmm, No. 47
total magnetic moment = 0.000 μB/atom

=====

Entry 24:
# AlInSi2

AlInSi2 after structural relaxation (PBE, the Alexandria database).

Cell lengths 3.735, 4.446, 4.446 Å; angles 90.00, 90.00, 90.00 degrees
Fractional coordinates of all 4 atoms:
Si (0.000, 0.000, 0.000)
Si (0.000, 0.500, 0.500)
Al (0.500, 0.500, 0.000)
In (0.500, 0.000, 0.500)

## Properties
formation energy (no corrections) = 0.43 eV/atom
space group = P4/mmm, No. 123
total magnetic moment = 0.000 μB/atom

=====

Entry 25:
# Al2InSi

Al2InSi after structural relaxation (PBE, the Alexandria database).

Cell lengths 5.250, 5.250, 5.250 Å; angles 138.08, 126.66, 70.05 degrees
Fractional coordinates of all 4 atoms:
Si (0.250, 0.750, 0.500)
Al (0.026, 0.026, 0.000)
Al (0.474, 0.474, 0.000)
In (0.750, 0.250, 0.500)

## Properties
formation energy (no corrections) = 0.27 eV/atom
space group = Immm, No. 71
total magnetic moment = 0.000 μB/atom

=====

Entry 26:
# AlInSi2

AlInSi2 after structural relaxation (PBE, the Alexandria database).

Cell lengths 2.875, 2.875, 9.133 Å; angles 90.00, 90.00, 97.15 degrees
Fractional coordinates of all 4 atoms:
Si (0.000, 0.000, 0.045)
Si (0.000, 0.000, 0.455)
Al (0.500, 0.500, 0.250)
In (0.500, 0.500, 0.750)

## Properties
formation energy (no corrections) = 0.37 eV/atom
space group = Cmmm, No. 65
total magnetic moment = 0.000 μB/atom

=====

Entry 27:
# AlInSi2

AlInSi2 after structural relaxation (PBE, the Alexandria database).

Cell lengths 4.704, 4.704, 4.704 Å; angles 60.00, 60.00, 60.00 degrees
Fractional coordinates of all 4 atoms:
Si (0.000, 0.000, 0.000)
Si (0.250, 0.250, 0.250)
Al (0.500, 0.500, 0.500)
In (0.750, 0.750, 0.750)

## Properties
formation energy (no corrections) = 0.48 eV/atom
space group = F-43m, No. 216
total magnetic moment = 0.000 μB/atom

=====

Entry 28:
# Al2InSi

Al2InSi after structural relaxation (PBE, the Alexandria database).

Cell lengths 8.654, 8.654, 8.654 Å; angles 21.63, 21.63, 21.63 degrees
Fractional coordinates of all 4 atoms:
Si (0.750, 0.750, 0.750)
Al (0.011, 0.011, 0.011)
Al (0.489, 0.489, 0.489)
In (0.250, 0.250, 0.250)

## Properties
formation energy (no corrections) = 0.22 eV/atom
space group = R-3m, No. 166
total magnetic moment = 0.000 μB/atom

=====

Entry 29:
# Al2InSi2

Al2InSi2 after structural relaxation (PBE, the Alexandria database).

Cell lengths 3.941, 3.941, 6.760 Å; angles 73.05, 73.05, 90.00 degrees
Fractional coordinates of all 5 atoms:
Si (0.750, 0.250, 0.500)
Si (0.250, 0.750, 0.500)
Al (0.388, 0.388, 0.223)
Al (0.612, 0.612, 0.777)
In (0.000, 0.000, 0.000)

## Properties
formation energy (no corrections) = 0.24 eV/atom
space group = I4/mmm, No. 139
total magnetic moment = 0.000 μB/atom

=====

Entry 30:
# Al2InSi

Al2InSi after structural relaxation (PBE, the Alexandria database).

Cell lengths 4.951, 4.951, 3.145 Å; angles 90.00, 90.00, 101.52 degrees
Fractional coordinates of all 4 atoms:
Si (0.000, 0.500, 0.500)
Al (0.000, 0.000, 0.000)
Al (0.500, 0.500, 0.000)
In (0.500, 0.000, 0.500)

## Properties
formation energy (no corrections) = 0.30 eV/atom
space group = Cmmm, No. 65
total magnetic moment = 0.000 μB/atom